No. 1
{
  "formula": "CaNdYCd",
  "functional": "PBE",
  "state": "optimized geometry",
  "polymorph_energy_mev_per_atom": 109,
  "crystal_system": "cubic",
  "formation_energy_ev_per_atom": -0.0393,
  "dft_energy_ev_per_fu": -14.3,
  "dos_ef_per_ev_atom": 1.325,
  "spacegroup": "F-43m",
  "lattice": [[0.0000, 3.9473, 3.9473], [3.9473, 0.0000, 3.9473], [3.9473, 3.9473, 0.0000]],
  "species": ["Ca", "Nd", "Y", "Cd"],
  "fractional_positions": [[0.0000, 0.0000, 0.0000], [0.2500, 0.2500, 0.2500], [0.7500, 0.7500, 0.7500], [0.5000, 0.5000, 0.5000]]
}

---

No. 2
{
  "formula": "NbGaTe3",
  "functional": "PBE",
  "state": "optimized geometry",
  "polymorph_energy_mev_per_atom": 831,
  "crystal_system": "cubic",
  "dft_energy_ev_per_fu": -17.9,
  "dos_ef_per_ev_atom": 3.090,
  "spacegroup": "Pm-3m",
  "raw_formation_energy_ev_per_atom": 0.92,
  "lattice": [[5.2223, 0.0000, 0.0000], [0.0000, 5.2223, 0.0000], [0.0000, 0.0000, 5.2223]],
  "species": ["Nb", "Ga", "Te", "Te", "Te"],
  "fractional_positions": [[0.0000, 0.0000, 0.0000], [0.5000, 0.5000, 0.5000], [0.0000, 0.5000, 0.5000], [0.5000, 0.0000, 0.5000], [0.5000, 0.5000, 0.0000]]
}

---

No. 3
{
  "formula": "Ba2NpAs3Pt4",
  "functional": "PBE",
  "state": "optimized geometry",
  "crystal_system": "tetragonal",
  "formation_energy_ev_per_atom": -0.6658,
  "dft_energy_ev_per_fu": -61.6,
  "dos_ef_per_ev_atom": 1.054,
  "spacegroup": "P-4m2",
  "lattice": [[4.4742, 0.0000, 0.0000], [0.0000, 4.4742, 0.0000], [0.0000, 0.0000, 11.3957]],
  "species": ["Ba", "Ba", "Np", "As", "As", "As", "Pt", "Pt", "Pt", "Pt"],
  "fractional_positions": [[0.0000, 0.5000, 0.2306], [0.5000, 0.0000, 0.7694], [0.0000, 0.0000, 0.5000], [0.0000, 0.5000, 0.8839], [0.5000, 0.0000, 0.1161], [0.5000, 0.5000, 0.5000], [0.0000, 0.0000, 0.0000], [0.0000, 0.5000, 0.6558], [0.5000, 0.0000, 0.3442], [0.5000, 0.5000, 0.0000]]
}

---

No. 4
{
  "formula": "AlAsW3",
  "functional": "PBE",
  "state": "optimized geometry",
  "polymorph_energy_mev_per_atom": 0,
  "crystal_system": "cubic",
  "formation_energy_ev_per_atom": 1.4801,
  "dft_energy_ev_per_fu": -39.9,
  "dos_ef_per_ev_atom": 0.880,
  "spacegroup": "Pm-3m",
  "lattice": [[4.5952, 0.0000, 0.0000], [0.0000, 4.5952, 0.0000], [0.0000, 0.0000, 4.5952]],
  "species": ["Al", "As", "W", "W", "W"],
  "fractional_positions": [[0.0000, 0.0000, 0.0000], [0.5000, 0.5000, 0.5000], [0.0000, 0.5000, 0.5000], [0.5000, 0.0000, 0.5000], [0.5000, 0.5000, 0.0000]]
}

---

No. 5
{
  "formula": "Al8Ga2Pd3",
  "functional": "PBE",
  "state": "optimized geometry",
  "crystal_system": "orthorhombic",
  "formation_energy_ev_per_atom": -0.3769,
  "dft_energy_ev_per_fu": -56.5,
  "dos_ef_per_ev_atom": 0.250,
  "spacegroup": "Cmmm",
  "lattice": [[4.3022, -5.8996, 0.0000], [4.3022, 5.8996, 0.0000], [0.0000, 0.0000, 4.3901]],
  "species": ["Al", "Al", "Al", "Al", "Al", "Al", "Al", "Al", "Ga", "Ga", "Pd", "Pd", "Pd"],
  "fractional_positions": [[0.1176, 0.3606, 0.5000], [0.1243, 0.8757, 0.0000], [0.3606, 0.1176, 0.5000], [0.3715, 0.6285, 0.0000], [0.6285, 0.3715, 0.0000], [0.6394, 0.8824, 0.5000], [0.8757, 0.1243, 0.0000], [0.8824, 0.6394, 0.5000], [0.2507, 0.7493, 0.5000], [0.7493, 0.2507, 0.5000], [0.2464, 0.2464, 0.0000], [0.5000, 0.5000, 0.5000], [0.7536, 0.7536, 0.0000]]
}

---

No. 6
{
  "formula": "Na3Pm3PuO8",
  "functional": "PBE",
  "state": "optimized geometry",
  "crystal_system": "trigonal",
  "dft_energy_ev_per_fu": -112.8,
  "dos_ef_per_ev_atom": 0.320,
  "spacegroup": "R-3m",
  "raw_formation_energy_ev_per_atom": -2.71,
  "lattice": [[3.5534, 2.0515, 5.6127], [-3.5534, 2.0515, 5.6127], [0.0000, -4.1031, 5.6127]],
  "species": ["Na", "Na", "Na", "Pm", "Pm", "Pm", "Pu", "O", "O", "O", "O", "O", "O", "O", "O"],
  "fractional_positions": [[0.0000, 0.5000, 0.5000], [0.5000, 0.0000, 0.5000], [0.5000, 0.5000, 0.0000], [0.0000, 0.0000, 0.5000], [0.0000, 0.5000, 0.0000], [0.5000, 0.0000, 0.0000], [0.5000, 0.5000, 0.5000], [0.2375, 0.2375, 0.2375], [0.2539, 0.7238, 0.7238], [0.2762, 0.2762, 0.7461], [0.2762, 0.7461, 0.2762], [0.7238, 0.2539, 0.7238], [0.7238, 0.7238, 0.2539], [0.7461, 0.2762, 0.2762], [0.7625, 0.7625, 0.7625]]
}